1.
A geometry-optimized Nd2NpN structure, computed with PBE-GGA.

Properties
Offset from the most stable computed form   0 meV/atom
DOS at the Fermi energy   9.1 states/eV/f.u.
Formation energy (no corrections)   -0.197 eV/atom

Lattice parameters (Å, degrees): 3.4878 3.4878 29.4059 90.00 90.00 120.00
Space group R-3m (No. 166, hexagonal axes)
Symmetry-distinct sites (fractional):
Nd1 0.0000 0.0000 0.1180 x6
Np1 0.0000 0.0000 0.0000 x3
N1 0.0000 0.0000 0.5000 x3

2.
A geometry-optimized Pm4Bi2I3 structure, computed with PBE-GGA.

Properties
DOS at the Fermi energy   5.1 states/eV/f.u.
Formation energy (no corrections)   -1.038 eV/atom

Lattice parameters (Å, degrees): 4.5454 4.5454 18.9579 90.00 90.00 120.00
Space group P-3m1 (No. 164)
Symmetry-distinct sites (fractional):
Pm1 0.0000 0.0000 0.2097 x2
Pm2 0.3333 0.6667 0.3926 x2
Bi1 0.3333 0.6667 0.6978 x2
I1 0.0000 0.0000 0.5000 x1
I2 0.3333 0.6667 0.1074 x2

3.
A geometry-optimized Re2SiTc structure, computed with PBE-GGA.

Properties
DOS at the Fermi energy   2.7 states/eV/f.u.
Formation energy (no corrections)   -0.114 eV/atom

Lattice parameters (Å, degrees): 2.907 2.907 6.629 90.00 90.00 90.00
Space group P4/mmm (No. 123)
Symmetry-distinct sites (fractional):
Re1 0.000 0.000 0.229 x2
Si1 0.500 0.500 0.000 x1
Tc1 0.500 0.500 0.500 x1

4.
A geometry-optimized CsUTe6 structure, computed with PBE-GGA.

Properties
DOS at the Fermi energy   6.2 states/eV/f.u.
Formation energy (no corrections)   -0.546 eV/atom

Lattice parameters (Å, degrees): 31.851 8.259 9.549 90.00 90.00 90.00
Space group Pnma (No. 62)
Symmetry-distinct sites (fractional):
Cs1 0.040 0.250 0.089 x4
Cs2 0.206 0.750 0.102 x4
U1 0.123 0.250 0.616 x4
U2 0.123 0.750 0.601 x4
Te1 0.032 0.250 0.495 x4
Te2 0.053 0.750 0.365 x4
Te3 0.057 0.505 0.725 x8
Te4 0.092 0.750 0.918 x4
Te5 0.122 0.010 0.355 x8
Te6 0.150 0.250 0.923 x4
Te7 0.189 0.503 0.732 x8
Te8 0.190 0.250 0.375 x4
Te9 0.215 0.750 0.518 x4

5.
A geometry-optimized OsRhS2N structure, computed with PBE-GGA.

Properties
Offset from the most stable computed form   0 meV/atom
DOS at the Fermi energy   5.6 states/eV/f.u.
Formation energy (no corrections)   0.791 eV/atom

Lattice parameters (Å, degrees): 4.743 4.743 3.635 90.00 90.00 90.00
Space group P4/mmm (No. 123)
Symmetry-distinct sites (fractional):
Os1 0.000 0.000 0.000 x1
Rh1 0.500 0.500 0.500 x1
S1 0.000 0.500 0.000 x2
N1 0.000 0.000 0.500 x1

6.
A geometry-optimized LiGe3Bi structure, computed with PBE-GGA.

Properties
Offset from the most stable computed form   0 meV/atom
DOS at the Fermi energy   3.0 states/eV/f.u.

Lattice parameters (Å, degrees): 4.777 4.777 4.777 90.00 90.00 90.00
Space group Pm-3m (No. 221)
Symmetry-distinct sites (fractional):
Li1 0.000 0.000 0.000 x1
Ge1 0.000 0.000 0.500 x3
Bi1 0.500 0.500 0.500 x1

7.
A geometry-optimized Fe4OsPt structure, computed with PBE-GGA.

Properties
DOS at the Fermi energy   8.0 states/eV/f.u.
Total energy   -202.3 eV/cell

Lattice parameters (Å, degrees): 6.671 6.671 6.671 90.00 90.00 90.00
Space group F-43m (No. 216)
Symmetry-distinct sites (fractional):
Fe1 0.125 0.125 0.125 x16
Os1 0.250 0.250 0.750 x4
Pt1 0.000 0.000 0.500 x4

8.
A geometry-optimized TeC3 structure, computed with PBE-GGA.

Properties
Offset from the most stable computed form   1654 meV/atom
DOS at the Fermi energy   1.2 states/eV/f.u.
Formation energy (no corrections)   2.619 eV/atom

Lattice parameters (Å, degrees): 2.8648 2.8648 19.2640 90.00 90.00 120.00
Space group R-3m (No. 166, hexagonal axes)
Symmetry-distinct sites (fractional):
Te1 0.0000 0.0000 0.0000 x3
C1 0.0000 0.0000 0.2067 x6
C2 0.0000 0.0000 0.5000 x3

9.
A geometry-optimized DyCrGe structure, computed with PBE-GGA.

Properties
DOS at the Fermi energy   3.0 states/eV/f.u.
Total energy   -39.9 eV/cell

Lattice parameters (Å, degrees): 3.912 3.912 7.401 90.00 90.00 90.00
Space group P4/nmm (No. 129, origin choice 2)
Symmetry-distinct sites (fractional):
Dy1 0.250 0.250 0.159 x2
Cr1 0.250 0.750 0.500 x2
Ge1 0.250 0.250 0.719 x2

10.
A geometry-optimized PrRe2 structure, computed with PBE-GGA.

Properties
DOS at the Fermi energy   2.3 states/eV/f.u.
Total energy   -117.9 eV/cell

Lattice parameters (Å, degrees): 5.5312 5.5312 8.9729 90.00 90.00 120.00
Space group P6_3/mmc (No. 194)
Symmetry-distinct sites (fractional):
Pr1 0.3333 0.6667 0.0629 x4
Re1 0.0000 0.0000 0.0000 x2
Re2 0.1700 0.3400 0.7500 x6

11.
A geometry-optimized SrLi3In9 structure, computed with PBE-GGA.

Properties
DOS at the Fermi energy   4.3 states/eV/f.u.
Total energy   -70.1 eV/cell

Lattice parameters (Å, degrees): 5.945 14.577 7.871 90.00 111.73 90.00
Space group C2/m (No. 12)
Symmetry-distinct sites (fractional):
Sr1 0.000 0.000 0.000 x2
Li1 0.000 0.500 0.500 x2
Li2 0.250 0.250 0.000 x4
In1 0.000 0.000 0.500 x2
In2 0.092 0.389 0.212 x8
In3 0.174 0.177 0.339 x8

12.
A geometry-optimized CeAl3Ge structure, computed with PBE-GGA.

Properties
DOS at the Fermi energy   6.5 states/eV/f.u.
Total energy   -93.8 eV/cell

Lattice parameters (Å, degrees): 5.922 11.414 5.913 90.00 90.00 90.00
Space group Cmcm (No. 63)
Symmetry-distinct sites (fractional):
Ce1 0.000 0.247 0.250 x4
Al1 0.000 0.362 0.750 x4
Al2 0.250 0.000 0.000 x8
Ge1 0.000 0.143 0.750 x4

13.
A geometry-optimized InIrAu2 structure, computed with PBE-GGA.

Properties
DOS at the Fermi energy   2.8 states/eV/f.u.
Total energy   -17.0 eV/cell

Lattice parameters (Å, degrees): 3.180 3.180 7.097 90.00 90.00 90.00
Space group P4/mmm (No. 123)
Symmetry-distinct sites (fractional):
In1 0.000 0.000 0.000 x1
Ir1 0.000 0.000 0.500 x1
Au1 0.500 0.500 0.261 x2

14.
A geometry-optimized P2Br3Cl4 structure, computed with PBE-GGA.

Properties
DOS at the Fermi energy   1.2 states/eV/f.u.
Formation energy (no corrections)   -0.472 eV/atom

Lattice parameters (Å, degrees): 21.098 6.556 14.632 90.00 127.77 90.00
Space group C2/c (No. 15)
Symmetry-distinct sites (fractional):
P1 0.099 0.220 0.194 x8
Br1 0.000 0.181 0.250 x4
Br2 0.115 0.130 0.058 x8
Cl1 0.114 0.470 0.702 x8
Cl2 0.205 0.124 0.344 x8

15.
A geometry-optimized Na2TbErS4 structure, computed with PBE-GGA.

Properties
DOS at the Fermi energy   0.0 states/eV/f.u.
Formation energy (no corrections)   -1.849 eV/atom

Lattice parameters (Å, degrees): 6.888 3.977 7.064 90.00 108.94 90.00
Space group P2/m (No. 10)
Symmetry-distinct sites (fractional):
Na1 0.000 0.000 0.000 x1
Na2 0.500 0.500 0.000 x1
Tb1 0.000 0.500 0.500 x1
Er1 0.500 0.000 0.500 x1
S1 0.245 0.000 0.727 x2
S2 0.261 0.500 0.274 x2

16.
A geometry-optimized CeYAl2Ga2 structure, computed with PBE-GGA.

Properties
DOS at the Fermi energy   7.0 states/eV/f.u.
Total energy   -29.2 eV/cell

Lattice parameters (Å, degrees): 4.4317 4.4317 7.5452 90.00 90.00 120.00
Space group P-3m1 (No. 164)
Symmetry-distinct sites (fractional):
Ce1 0.0000 0.0000 0.0000 x1
Y1 0.0000 0.0000 0.5000 x1
Al1 0.3333 0.6667 0.7467 x2
Ga1 0.3333 0.6667 0.2571 x2

17.
A geometry-optimized EuScCo4 structure, computed with PBE-GGA.

Properties
DOS at the Fermi energy   9.5 states/eV/f.u.
Total energy   -182.4 eV/cell

Lattice parameters (Å, degrees): 7.110 7.110 7.110 90.00 90.00 90.00
Space group F-43m (No. 216)
Symmetry-distinct sites (fractional):
Eu1 0.000 0.000 0.000 x4
Sc1 0.250 0.250 0.750 x4
Co1 0.124 0.124 0.376 x16

18.
A geometry-optimized HoHgRhAu structure, computed with PBE-GGA.

Properties
DOS at the Fermi energy   2.1 states/eV/f.u.
Total energy   -69.8 eV/cell

Lattice parameters (Å, degrees): 6.812 6.812 6.812 90.00 90.00 90.00
Space group F-43m (No. 216)
Symmetry-distinct sites (fractional):
Ho1 0.000 0.000 0.000 x4
Hg1 0.000 0.000 0.500 x4
Rh1 0.250 0.250 0.750 x4
Au1 0.250 0.250 0.250 x4

19.
A geometry-optimized Ba2NiHg structure, computed with PBE-GGA.

Properties
DOS at the Fermi energy   3.6 states/eV/f.u.
Total energy   -9.8 eV/cell

Lattice parameters (Å, degrees): 3.885 3.885 9.228 90.00 90.00 90.00
Space group P4mm (No. 99)
Symmetry-distinct sites (fractional):
Ba1 0.000 0.000 0.000 x1
Ba2 0.500 0.500 0.433 x1
Ni1 0.500 0.500 0.773 x1
Hg1 0.000 0.000 0.656 x1

20.
A geometry-optimized Cs3K3VBr8 structure, computed with PBE-GGA.

Properties
Formation energy (no corrections)   -1.549 eV/atom

Lattice parameters (Å, degrees): 9.5238 9.5238 24.7742 90.00 90.00 120.00
Space group R-3m (No. 166, hexagonal axes)
Symmetry-distinct sites (fractional):
Cs1 0.0000 0.5000 0.0000 x9
K1 0.0000 0.5000 0.5000 x9
V1 0.0000 0.0000 0.5000 x3
Br1 0.0000 0.0000 0.2407 x6
Br2 0.0607 0.5303 0.2285 x18